1.
{"formula": "PmPrHf", "functional": "PBE-GGA", "state": "relaxed", "e_form_mev_per_atom": 194.0, "magmom_total_mub_per_cell": 0.00, "de_polymorph_ev_per_fu": 0.10, "cell": [[3.4515, 0.0000, 0.0000], [-1.7258, 2.9891, 0.0000], [0.0000, 0.0000, 8.7587]], "species": ["Pm", "Pr", "Hf"], "frac_coords": [[0.3333, 0.6667, 0.6376], [0.0000, 0.0000, 0.0270], [0.6667, 0.3333, 0.3354]]}


2.
{"formula": "VPt2Se6", "functional": "PBE-GGA", "state": "relaxed", "raw_formation_energy_mev_per_atom": -424, "magmom_total_mub_per_cell": 1.02, "cell": [[-1.0826, -0.8178, 3.4073], [-2.7715, -6.5656, -2.4565], [8.1524, -1.1369, 0.3436]], "species": ["Se", "Pt", "V", "Se", "Se", "Se", "Se", "Se", "Pt"], "frac_coords": [[0.3366, 0.9014, 0.6731], [0.8355, 0.6694, 0.6709], [0.5000, 0.0000, 0.0000], [0.6634, 0.0986, 0.3269], [0.6728, 0.5636, 0.3455], [0.3272, 0.4364, 0.6545], [0.9993, 0.2348, 0.9985], [0.0007, 0.7652, 0.0015], [0.1645, 0.3306, 0.3291]]}


3.
{"formula": "Ca2Br3O2", "functional": "PBE-GGA", "state": "relaxed", "raw_formation_energy_mev_per_atom": -1690, "magmom_total_mub_per_cell": 1.01, "cell": [[0.2444, 3.1914, 2.8744], [-3.2203, -2.2595, 5.9594], [6.7939, 1.9057, 3.7733]], "species": ["Br", "O", "Ca", "Br", "O", "Br", "Ca"], "frac_coords": [[0.4992, 0.4885, 0.7565], [0.3430, 0.0072, 0.4957], [0.9324, 0.7745, 0.1815], [0.5008, 0.5115, 0.2435], [0.6570, 0.9928, 0.5043], [0.5000, 0.0000, 0.0000], [0.0676, 0.2255, 0.8185]]}


4.
{"formula": "CsCe2Sc2O7", "functional": "PBE-GGA", "state": "relaxed", "raw_formation_energy_mev_per_atom": -3138, "magmom_total_mub_per_cell": 0.76, "cell": [[4.4545, 0.0000, 0.0000], [0.0000, 4.4556, -0.0001], [-2.2273, -2.2280, 9.7220]], "species": ["O", "Ce", "Sc", "O", "O", "O", "Ce", "O", "O", "Cs", "O", "Sc"], "frac_coords": [[0.5000, 0.5005, 0.0000], [0.6151, 0.6151, 0.2302], [0.7500, 0.2498, 0.4999], [0.2590, 0.2589, 0.5181], [0.6427, 0.1426, 0.2854], [0.3573, 0.8572, 0.7146], [0.3849, 0.3849, 0.7698], [0.8572, 0.3571, 0.7145], [0.7410, 0.7409, 0.4820], [0.9999, 0.0001, 0.9998], [0.1428, 0.6427, 0.2856], [0.2500, 0.7499, 0.5001]]}


5.
{"formula": "Cr3CoRh4", "functional": "PBE-GGA", "state": "relaxed", "e_form_mev_per_atom": -46.7, "magmom_total_mub_per_cell": 0.23, "cell": [[-3.3718, 1.7064, 0.1108], [0.1582, 0.5505, -3.7371], [-1.6643, -7.5205, 0.7323]], "species": ["Rh", "Cr", "Rh", "Rh", "Rh", "Cr", "Co", "Cr"], "frac_coords": [[0.1267, 0.1266, 0.2533], [0.0000, 0.5000, 0.0000], [0.8733, 0.8734, 0.7467], [0.6266, 0.6267, 0.2533], [0.3734, 0.3733, 0.7467], [0.2510, 0.7509, 0.5021], [0.5000, 0.0000, 0.0000], [0.7490, 0.2491, 0.4979]]}


6.
{"formula": "HfMgZr4", "functional": "PBE-GGA", "state": "relaxed", "e_form_mev_per_atom": 69.5, "magmom_total_mub_per_cell": 0.00, "de_polymorph_ev_per_fu": 0.00, "cell": [[-4.2547, -1.6729, 3.2659], [3.8801, -0.1381, 4.9841], [2.4760, 9.0498, -1.6767]], "species": ["Zr", "Zr", "Zr", "Hf", "Zr", "Zr", "Hf", "Zr", "Mg", "Zr", "Mg", "Zr"], "frac_coords": [[0.9966, 0.2500, 0.9987], [0.0029, 0.2500, 0.6637], [0.9971, 0.7500, 0.3363], [0.9933, 0.7500, 0.6653], [0.4931, 0.9988, 0.6595], [0.0034, 0.7500, 0.0013], [0.0067, 0.2500, 0.3347], [0.4931, 0.5012, 0.6595], [0.5000, 0.0000, 0.0000], [0.5069, 0.0012, 0.3405], [0.5000, 0.5000, 0.0000], [0.5069, 0.4988, 0.3405]]}


7.
{"formula": "NaAgHg", "functional": "PBE-GGA", "state": "relaxed", "e_form_mev_per_atom": -32.1, "magmom_total_mub_per_cell": 0.00, "de_polymorph_ev_per_fu": 0.20, "cell": [[-4.7362, -0.2094, -0.8863], [-1.8001, -3.6040, -2.6518], [-2.6946, -3.4144, 2.0837]], "species": ["Ag", "Na", "Hg"], "frac_coords": [[0.2500, 0.2500, 0.2500], [0.0000, 0.0000, 0.0000], [0.5000, 0.5000, 0.5000]]}


8.
{"formula": "K3Sm2ScSe6", "functional": "PBE-GGA", "state": "relaxed", "raw_formation_energy_mev_per_atom": -1703, "magmom_total_mub_per_cell": 0.00, "cell": [[7.2874, -0.0014, -0.0017], [-3.6431, 6.3114, -0.0017], [-1.2173, -2.1077, 7.6779]], "species": ["Se", "Se", "Se", "Sc", "Sm", "Se", "Sm", "Se", "K", "K", "Se", "K"], "frac_coords": [[0.9321, 0.6149, 0.7961], [0.3851, 0.0679, 0.2039], [0.7514, 0.7514, 0.2042], [0.0000, 0.0000, 0.0000], [0.6664, 0.3336, 0.0000], [0.0679, 0.3851, 0.2039], [0.3336, 0.6664, 0.0000], [0.2486, 0.2486, 0.7958], [0.8308, 0.1692, 0.5000], [0.5000, 0.5000, 0.5000], [0.6149, 0.9321, 0.7961], [0.1692, 0.8308, 0.5000]]}


9.
{"formula": "AlVAs2C", "functional": "PBE-GGA", "state": "relaxed", "e_form_mev_per_atom": 2152.7, "magmom_total_mub_per_cell": 0.18, "cell": [[4.6304, 0.0000, 0.0000], [0.0000, 4.7249, 0.0000], [0.0000, 0.0000, 4.6304]], "species": ["As", "V", "Al", "As", "C"], "frac_coords": [[0.5000, 0.0000, 0.0000], [0.0000, 0.5000, 0.0000], [0.0000, 0.0000, 0.0000], [0.0000, 0.0000, 0.5000], [0.5000, 0.5000, 0.5000]]}


10.
{"formula": "Cs4Rb3AgBr8", "functional": "PBE-GGA", "state": "relaxed", "raw_formation_energy_mev_per_atom": -1547, "magmom_total_mub_per_cell": 0.00, "cell": [[-6.7512, 4.8868, -5.2488], [3.4506, -4.2028, -8.3512], [-2.9946, -5.8282, 7.6667]], "species": ["Br", "Rb", "Br", "Br", "Rb", "Br", "Cs", "Br", "Ag", "Br", "Rb", "Cs", "Br", "Cs", "Br", "Cs"], "frac_coords": [[0.2547, 0.2648, 0.5094], [0.5000, 0.5000, 0.0000], [0.7403, 0.2504, 0.4806], [0.7869, 0.2951, 0.0076], [0.5000, 0.5000, 0.5000], [0.2597, 0.7496, 0.5194], [0.5000, 0.0000, 0.5000], [0.7453, 0.7352, 0.4906], [0.0000, 0.5000, 0.0000], [0.2207, 0.2951, 0.0076], [0.0000, 0.5000, 0.5000], [0.5000, 0.0000, 0.0000], [0.2131, 0.7049, 0.9924], [0.0000, 0.0000, 0.5000], [0.7793, 0.7049, 0.9924], [0.0000, 0.0000, 0.0000]]}


11.
{"formula": "YCoPt", "functional": "PBE-GGA", "state": "relaxed", "e_form_mev_per_atom": 201.1, "magmom_total_mub_per_cell": 1.02, "cell": [[-3.9459, 0.7933, 2.0287], [-2.1734, -3.3503, 2.0896], [-0.2713, -0.0499, 4.4987]], "species": ["Y", "Pt", "Co"], "frac_coords": [[0.2500, 0.2500, 0.2500], [0.5000, 0.5000, 0.5000], [0.0000, 0.0000, 0.0000]]}


12.
{"formula": "Te2HPd8", "functional": "PBE-GGA", "state": "relaxed", "magmom_total_mub_per_cell": 0.00, "de_polymorph_ev_per_fu": 0.26, "cell": [[4.4616, 0.0000, 0.0000], [0.0000, 5.0451, -1.1947], [-2.2308, -3.3627, 8.9453]], "species": ["H", "Pd", "Pd", "Pd", "Te", "Pd", "Pd", "Pd", "Te", "Pd", "Pd"], "frac_coords": [[0.5000, 0.0000, 0.0000], [0.6950, 0.9477, 0.3900], [0.0360, 0.8345, 0.0720], [0.3050, 0.0523, 0.6100], [0.1275, 0.6025, 0.2550], [0.7902, 0.6776, 0.5804], [0.9640, 0.1655, 0.9280], [0.2098, 0.3224, 0.4196], [0.8725, 0.3975, 0.7450], [0.6064, 0.2609, 0.2127], [0.3936, 0.7391, 0.7873]]}